# SiSbAu PBE-GGA relaxed
# ρ, g/cm3: 8.63
# Distance to the lowest polymorph of the same formula, meV per atom: 71.9
# Calculated volume, Å³/cell: 267
data_SiSbAu
_chemical_formula_sum 'Si4 Sb4 Au4'
_space_group_name_H-M_alt 'P n m a'
_space_group_IT_number 62
_space_group_name_Hall '-P 2ac 2n'
_cell_length_a 8.758
_cell_length_b 3.819
_cell_length_c 7.977
_cell_angle_alpha 90.00
_cell_angle_beta 90.00
_cell_angle_gamma 90.00
loop_
_atom_site_label
_atom_site_fract_x
_atom_site_fract_y
_atom_site_fract_z
Si1 0.113 0.250 0.039
Sb1 0.166 0.250 0.479
Au1 0.018 0.750 0.239

# Sc3Ta3W2N12 PBE-GGA relaxed
# Uncorrected energy, eV per atom: -9.87
# ρ, g/cm3: 8.23
# Calculated volume, Å³/cell: 1959
data_Sc3Ta3W2N12
_chemical_formula_sum 'Sc24 Ta24 W16 N96'
_space_group_name_H-M_alt 'I a -3 d'
_space_group_IT_number 230
_space_group_name_Hall '-I 4bd 2c 3'
_cell_length_a 12.512
_cell_length_b 12.512
_cell_length_c 12.512
_cell_angle_alpha 90.00
_cell_angle_beta 90.00
_cell_angle_gamma 90.00
loop_
_atom_site_label
_atom_site_fract_x
_atom_site_fract_y
_atom_site_fract_z
Sc1 0.000 0.250 0.125
Ta1 0.000 0.250 0.375
W1 0.000 0.000 0.000
N1 0.027 0.060 0.648

# SrLiAs2Pd PBE-GGA relaxed
# Uncorrected energy, eV per atom: -4.47
# ρ, g/cm3: 5.83
# Calculated volume, Å³/cell: 200
data_SrLiAs2Pd
_chemical_formula_sum 'Sr2 Li2 As4 Pd2'
_space_group_name_H-M_alt 'I -4 m 2'
_space_group_IT_number 119
_space_group_name_Hall 'I -4 -2'
_cell_length_a 4.312
_cell_length_b 4.312
_cell_length_c 10.741
_cell_angle_alpha 90.00
_cell_angle_beta 90.00
_cell_angle_gamma 90.00
loop_
_atom_site_label
_atom_site_fract_x
_atom_site_fract_y
_atom_site_fract_z
Sr1 0.000 0.000 0.000
Li1 0.000 0.500 0.750
As1 0.000 0.000 0.382
Pd1 0.000 0.500 0.250

# TaNbAlNi PBE-GGA relaxed
# ρ, g/cm3: 9.54
# Distance to the lowest polymorph of the same formula, meV per atom: 0.0
# Calculated volume, Å³/cell: 250
data_TaNbAlNi
_chemical_formula_sum 'Ta4 Nb4 Al4 Ni4'
_space_group_name_H-M_alt 'F -4 3 m'
_space_group_IT_number 216
_space_group_name_Hall 'F -4 2 3'
_cell_length_a 6.303
_cell_length_b 6.303
_cell_length_c 6.303
_cell_angle_alpha 90.00
_cell_angle_beta 90.00
_cell_angle_gamma 90.00
loop_
_atom_site_label
_atom_site_fract_x
_atom_site_fract_y
_atom_site_fract_z
Ta1 0.000 0.000 0.000
Nb1 0.250 0.250 0.250
Al1 0.000 0.000 0.500
Ni1 0.250 0.250 0.750

# HfCuSiAs PBE-GGA relaxed
# Uncorrected energy, eV per atom: -6.48
# ρ, g/cm3: 8.94
# Calculated volume, Å³/cell: 128
data_HfCuSiAs
_chemical_formula_sum 'Hf2 Cu2 Si2 As2'
_space_group_name_H-M_alt 'P 4/n m m'
_space_group_IT_number 129
_cell_length_a 3.646
_cell_length_b 3.646
_cell_length_c 9.644
_cell_angle_alpha 90.00
_cell_angle_beta 90.00
_cell_angle_gamma 90.00
loop_
_space_group_symop_operation_xyz
'x,y,z'
'-x,-y,-z'
'-y+1/2,x,z'
'y+1/2,-x,-z'
'-x+1/2,-y+1/2,z'
'x+1/2,y+1/2,-z'
'y,-x+1/2,z'
'-y,x+1/2,-z'
'x+1/2,-y,-z'
'-x+1/2,y,z'
'-y,-x,-z'
'y,x,z'
'-x,y+1/2,-z'
'x,-y+1/2,z'
'y+1/2,x+1/2,-z'
'-y+1/2,-x+1/2,z'
loop_
_atom_site_label
_atom_site_fract_x
_atom_site_fract_y
_atom_site_fract_z
Hf1 0.250 0.250 0.220
Cu1 0.250 0.750 0.500
Si1 0.250 0.750 0.000
As1 0.250 0.250 0.682

# ScFeNiSn PBE-GGA relaxed
# ρ, g/cm3: 7.62
# Distance to the lowest polymorph of the same formula, meV per atom: 0.0
# Calculated volume, Å³/cell: 242
data_ScFeNiSn
_chemical_formula_sum 'Sc4 Fe4 Ni4 Sn4'
_space_group_name_H-M_alt 'F -4 3 m'
_space_group_IT_number 216
_space_group_name_Hall 'F -4 2 3'
_cell_length_a 6.236
_cell_length_b 6.236
_cell_length_c 6.236
_cell_angle_alpha 90.00
_cell_angle_beta 90.00
_cell_angle_gamma 90.00
loop_
_atom_site_label
_atom_site_fract_x
_atom_site_fract_y
_atom_site_fract_z
Sc1 0.000 0.000 0.000
Fe1 0.250 0.250 0.750
Ni1 0.250 0.250 0.250
Sn1 0.000 0.000 0.500

Copy entry 2 word for word.
# Sc3Ta3W2N12 PBE-GGA relaxed
# Uncorrected energy, eV per atom: -9.87
# ρ, g/cm3: 8.23
# Calculated volume, Å³/cell: 1959
data_Sc3Ta3W2N12
_chemical_formula_sum 'Sc24 Ta24 W16 N96'
_space_group_name_H-M_alt 'I a -3 d'
_space_group_IT_number 230
_space_group_name_Hall '-I 4bd 2c 3'
_cell_length_a 12.512
_cell_length_b 12.512
_cell_length_c 12.512
_cell_angle_alpha 90.00
_cell_angle_beta 90.00
_cell_angle_gamma 90.00
loop_
_atom_site_label
_atom_site_fract_x
_atom_site_fract_y
_atom_site_fract_z
Sc1 0.000 0.250 0.125
Ta1 0.000 0.250 0.375
W1 0.000 0.000 0.000
N1 0.027 0.060 0.648

What is the formula in the fourth record?
TaNbAlNi